Below is a PBEsol-optimized structure of LiY3Mo, with properties calculated at the meta-GGA SCAN level.

CIF file:
```
data_LiY3Mo
_chemical_formula_sum 'Li1 Y3 Mo1'
_space_group_name_H-M_alt 'P m -3 m'
_space_group_IT_number 221
_space_group_name_Hall '-P 4 2 3'
_cell_length_a 5.330
_cell_length_b 5.330
_cell_length_c 5.330
_cell_angle_alpha 90.00
_cell_angle_beta 90.00
_cell_angle_gamma 90.00
loop_
_atom_site_label
_atom_site_type_symbol
_atom_site_fract_x
_atom_site_fract_y
_atom_site_fract_z
Li1 Li 0.000 0.000 0.000
Y1 Y 0.000 0.500 0.500
Mo1 Mo 0.500 0.500 0.500
```

Calculated values
Mass density (g cm⁻³): 4.1

Below is a PBEsol-optimized structure of Li2Y2Mo, with properties calculated at the meta-GGA SCAN level.

CIF file:
```
data_Li2Y2Mo
_chemical_formula_sum 'Li4 Y4 Mo2'
_space_group_name_H-M_alt 'I 4/m m m'
_space_group_IT_number 139
_space_group_name_Hall '-I 4 2'
_cell_length_a 3.484
_cell_length_b 3.484
_cell_length_c 18.644
_cell_angle_alpha 90.00
_cell_angle_beta 90.00
_cell_angle_gamma 90.00
loop_
_atom_site_label
_atom_site_type_symbol
_atom_site_fract_x
_atom_site_fract_y
_atom_site_fract_z
Li1 Li 0.000 0.500 0.250
Y1 Y 0.000 0.000 0.090
Mo1 Mo 0.000 0.000 0.500
```

Calculated values
Mass density (g cm⁻³): 4.2

Below is a PBEsol-optimized structure of Li2YMo, with properties calculated at the meta-GGA SCAN level.

CIF file:
```
data_Li2YMo
_chemical_formula_sum 'Li8 Y4 Mo4'
_space_group_name_H-M_alt 'F -4 3 m'
_space_group_IT_number 216
_space_group_name_Hall 'F -4 2 3'
_cell_length_a 6.799
_cell_length_b 6.799
_cell_length_c 6.799
_cell_angle_alpha 90.00
_cell_angle_beta 90.00
_cell_angle_gamma 90.00
loop_
_atom_site_label
_atom_site_type_symbol
_atom_site_fract_x
_atom_site_fract_y
_atom_site_fract_z
Li1 Li 0.000 0.000 0.000
Li2 Li 0.250 0.250 0.250
Y1 Y 0.000 0.000 0.500
Mo1 Mo 0.250 0.250 0.750
```

Calculated values
Relative energy among the computed polymorphs (meV per atom): 19.2
Mass density (g cm⁻³): 4.2

Below is a PBEsol-optimized structure of Li2YMo, with properties calculated at the meta-GGA SCAN level.

CIF file:
```
data_Li2YMo
_chemical_formula_sum 'Li2 Y1 Mo1'
_space_group_name_H-M_alt 'P m m m'
_space_group_IT_number 47
_cell_length_a 3.130
_cell_length_b 4.584
_cell_length_c 5.338
_cell_angle_alpha 90.00
_cell_angle_beta 90.00
_cell_angle_gamma 90.00
loop_
_space_group_symop_operation_xyz
'x,y,z'
'-x,-y,-z'
'-x,-y,z'
'x,y,-z'
'x,-y,-z'
'-x,y,z'
'-x,y,-z'
'x,-y,z'
loop_
_atom_site_label
_atom_site_type_symbol
_atom_site_fract_x
_atom_site_fract_y
_atom_site_fract_z
Li1 Li 0.000 0.000 0.000
Li2 Li 0.500 0.500 0.000
Y1 Y 0.000 0.500 0.500
Mo1 Mo 0.500 0.000 0.500
```

Calculated values
Relative energy among the computed polymorphs (meV per atom): 0.0
Mass density (g cm⁻³): 4.3

no.,energy of formation from the pure elements (eV/atom),total energy (eV per cell),magnetization (μB per cell)
1,0.441,-118.6,0.00
2,0.346,-187.2,0.05
3,0.579,-260.8,12.31
4,0.559,-65.3,0.00